# CoMo2Pt

CoMo2Pt after structural relaxation (PBEsol, Alexandria via LeMat-Bulk).

Summary:
* distance to the lowest polymorph of the same formula: 48 meV/atom
* E_form: -2.6 kcal/mol of atoms

Cell and atoms, written as CIF:
```
data_CoMo2Pt
_chemical_formula_sum 'Co2 Mo4 Pt2'
_cell_length_a 5.262
_cell_length_b 7.887
_cell_length_c 2.655
_cell_angle_alpha 90.00
_cell_angle_beta 90.00
_cell_angle_gamma 90.00
_symmetry_space_group_name_H-M 'C m m m'
_symmetry_Int_Tables_number 65
_symmetry_space_group_name_Hall '-C 2 2'
loop_
_atom_site_label
_atom_site_type_symbol
_atom_site_fract_x
_atom_site_fract_y
_atom_site_fract_z
Co1 Co 0.000 0.000 0.000
Mo1 Mo 0.250 0.250 0.500
Pt1 Pt 0.000 0.500 0.000
```